(1)
Ca3ZnTe | PBEsol | relaxed

abc: 5.502 5.502 5.502
angles: 90.00 90.00 90.00
Atoms (fractional coordinates):
Ca  0.000  0.000  0.500
Ca  0.000  0.500  0.000
Ca  0.500  0.000  0.000
Zn  0.000  0.000  0.000
Te  0.500  0.500  0.500

Results
raw formation energy: -0.329 eV per atom
total magnetization: 0.0 μB/cell
Fermi-level density of states: 3.96 states/eV/f.u.
space-group type: No. 221

***

(2)
CaZnTe2 | PBEsol | relaxed

abc: 5.294 5.294 5.294
angles: 60.00 60.00 60.00
Atoms (fractional coordinates):
Ca  0.000  0.000  0.000
Zn  0.750  0.750  0.750
Te  0.250  0.250  0.250
Te  0.500  0.500  0.500

Results
raw formation energy: -0.302 eV per atom
total magnetization: 0.0 μB/cell
Fermi-level density of states: 2.37 states/eV/f.u.
space-group type: No. 216

***

(3)
CaZnTe2 | PBEsol | relaxed

abc: 4.484 4.334 6.351
angles: 90.00 95.01 90.00
Atoms (fractional coordinates):
Ca  0.000  0.000  0.000
Zn  0.246  0.500  0.622
Te  0.501  0.500  0.005
Te  0.971  0.000  0.492

Results
raw formation energy: -0.874 eV per atom
total magnetization: 0.0 μB/cell
space-group type: No. 6

***

(4)
CaZnTe2 | PBEsol | relaxed

abc: 5.517 5.517 5.517
angles: 127.71 127.71 77.10
Atoms (fractional coordinates):
Ca  0.000  0.000  0.000
Zn  0.500  0.500  0.000
Te  0.250  0.750  0.500
Te  0.750  0.250  0.500

Results
raw formation energy: -0.494 eV per atom
total magnetization: 0.0 μB/cell
Fermi-level density of states: 2.20 states/eV/f.u.
space-group type: No. 139

***

(5)
CaZnTe2 | PBEsol | relaxed

abc: 4.208 4.208 7.429
angles: 106.36 106.36 60.09
Atoms (fractional coordinates):
Ca  0.000  0.000  0.000
Zn  0.500  0.500  0.500
Te  0.240  0.240  0.719
Te  0.760  0.760  0.281

Results
raw formation energy: -0.813 eV per atom
total magnetization: 0.0 μB/cell
Fermi-level density of states: 0.03 states/eV/f.u.
space-group type: No. 12

***

(6)
CaZrTe2 | PBEsol | relaxed

abc: 8.359 8.359 8.359
angles: 133.28 133.28 68.22
Atoms (fractional coordinates):
Ca  0.000  0.000  0.000
Ca  0.750  0.250  0.500
Zr  0.250  0.750  0.500
Zr  0.500  0.500  0.000
Te  0.154  0.625  0.029
Te  0.375  0.404  0.529
Te  0.596  0.125  0.971
Te  0.875  0.846  0.471

Results
raw formation energy: -0.603 eV per atom
total magnetization: 3.3 μB/cell
Fermi-level density of states: 4.25 states/eV/f.u.
space-group type: No. 122

***

(7)
Ca4ZrTe | PBEsol | relaxed

abc: 6.483 6.483 6.483
angles: 60.00 60.00 60.00
Atoms (fractional coordinates):
Ca  0.124  0.124  0.124
Ca  0.124  0.124  0.627
Ca  0.124  0.627  0.124
Ca  0.627  0.124  0.124
Zr  0.750  0.750  0.750
Te  0.500  0.500  0.500

Results
raw formation energy: 0.341 eV per atom
total magnetization: 3.2 μB/cell
Fermi-level density of states: 5.01 states/eV/f.u.
space-group type: No. 216

***

(8)
Ca2Y2Ti | PBEsol | relaxed

abc: 9.696 9.696 9.696
angles: 154.51 154.51 36.36
Atoms (fractional coordinates):
Ca  0.091  0.091  0.000
Ca  0.909  0.909  0.000
Y  0.250  0.750  0.500
Y  0.750  0.250  0.500
Ti  0.500  0.500  0.000

Results
total magnetization: 3.4 μB/cell
Fermi-level density of states: 8.01 states/eV/f.u.
space-group type: No. 139
energy of formation: 0.76 eV/atom

***

(9)
CaTi3Zn | PBEsol | relaxed

abc: 4.806 4.806 4.806
angles: 90.00 90.00 90.00
Atoms (fractional coordinates):
Ca  0.000  0.000  0.000
Ti  0.000  0.500  0.500
Ti  0.500  0.000  0.500
Ti  0.500  0.500  0.000
Zn  0.500  0.500  0.500

Results
total magnetization: 2.3 μB/cell
Fermi-level density of states: 8.27 states/eV/f.u.
space-group type: No. 221
energy of formation: 0.72 eV/atom

***

(10)
CaZr3Ti | PBEsol | relaxed

abc: 5.038 5.038 5.038
angles: 90.00 90.00 90.00
Atoms (fractional coordinates):
Ca  0.000  0.000  0.000
Zr  0.000  0.500  0.500
Zr  0.500  0.000  0.500
Zr  0.500  0.500  0.000
Ti  0.500  0.500  0.500

Results
energy above the lowest structure with this stoichiometry: 0 meV/atom
total magnetization: 0.0 μB/cell
Fermi-level density of states: 10.10 states/eV/f.u.
space-group type: No. 221
energy of formation: 0.65 eV/atom

***

(11)
CaTl | PBEsol | relaxed

abc: 7.601 4.967 6.206
angles: 90.00 90.00 90.00
Atoms (fractional coordinates):
Ca  0.182  0.250  0.147
Ca  0.318  0.750  0.647
Ca  0.682  0.250  0.353
Ca  0.818  0.750  0.853
Tl  0.037  0.250  0.661
Tl  0.463  0.750  0.161
Tl  0.537  0.250  0.839
Tl  0.963  0.750  0.339

Results
total magnetization: 0.0 μB/cell
Fermi-level density of states: 0.51 states/eV/f.u.
space-group type: No. 62
energy of formation: -0.45 eV/atom

***

(12)
CaTl | PBEsol | relaxed

abc: 5.428 5.428 5.428
angles: 39.95 39.95 39.95
Atoms (fractional coordinates):
Ca  0.000  0.000  0.000
Tl  0.500  0.500  0.500

Results
total magnetization: 0.0 μB/cell
Fermi-level density of states: 1.86 states/eV/f.u.
space-group type: No. 166
energy of formation: -0.31 eV/atom

***

Question: Which formula does entry 3 have?
Answer: CaZnTe2

***

Question: What is the total magnetization in the sixth record?
Answer: 3.3 μB/cell

***

Repeat the eighth record exactly.
Ca2Y2Ti | PBEsol | relaxed

abc: 9.696 9.696 9.696
angles: 154.51 154.51 36.36
Atoms (fractional coordinates):
Ca  0.091  0.091  0.000
Ca  0.909  0.909  0.000
Y  0.250  0.750  0.500
Y  0.750  0.250  0.500
Ti  0.500  0.500  0.000

Results
total magnetization: 3.4 μB/cell
Fermi-level density of states: 8.01 states/eV/f.u.
space-group type: No. 139
energy of formation: 0.76 eV/atom

***

Question: What is the total magnetization in the tenth record?
Answer: 0.0 μB/cell